1.
A geometry-optimized Pm4Nd4Cd structure. Source: Alexandria via LeMat-Bulk, functional PBE.

The calculated volume is 33.2 Å³ per atom. The calculated formation energy comes out at -0.019 eV/atom.

It has space group I4/mmm (No. 139), with a = 10.848 Å, b = 10.848 Å, c = 5.080 Å, α = 90.00°, β = 90.00° and γ = 90.00°. The inequivalent atoms are Pm at (0.000, 0.332, 0.000), Nd at (0.164, 0.164, 0.500) and Cd at (0.000, 0.000, 0.000).

2.
A geometry-optimized Pm2Nd6Cd structure. Source: Alexandria via LeMat-Bulk, functional PBE.

The calculation puts the energy above the most stable polymorph in this dataset at 0.0 meV per atom. The calculated volume is 33.4 Å³ per atom. The calculated formation energy comes out at -0.018 eV/atom.

It has space group P4_2/mnm (No. 136), with a = 10.838 Å, b = 10.838 Å, c = 5.120 Å, α = 90.00°, β = 90.00° and γ = 90.00°. The inequivalent atoms are Pm at (0.165, 0.165, 0.000), Nd at (0.000, 0.331, 0.500), Nd at (0.163, 0.837, 0.000) and Cd at (0.000, 0.000, 0.500).